Computed, not measured: a geometry-optimized Ce4Pt structure at the GGA-PBE level of DFT. Values from VASP.

Properties
ΔE_f, kcal/mol of atoms: 1.9
Space group: Fd-3m, No. 227
Energy relative to the lowest polymorph listed for this composition, kJ/mol of atoms: 39.2
Total DFT energy (no corrections), eV/atom: -5.8711
Spin magnetization, μB/cell: 5.17

Cell and atoms, written as Quantum ESPRESSO input:
```
&SYSTEM
  ibrav = 0, nat = 10, ntyp = 2
/
ATOMIC_SPECIES
Ce 140.12 Ce.upf
Pt 195.08 Pt.upf
CELL_PARAMETERS angstrom
0.000 5.301 5.301
5.301 0.000 5.301
5.301 5.301 0.000
ATOMIC_POSITIONS angstrom
Ce 8.189 5.063 5.063
Ce 2.412 2.412 2.412
Ce 5.538 5.538 2.412
Ce 5.538 2.412 5.538
Ce 5.063 8.189 5.063
Ce 5.063 5.063 8.189
Ce 8.189 8.189 8.189
Ce 2.412 5.538 5.538
Pt 3.975 3.975 3.975
Pt 6.626 6.626 6.626
```

=====

Computed, not measured: a geometry-optimized Li2LaMo structure at the GGA-PBE level of DFT. Values from VASP.

Properties
ΔE_f, kcal/mol of atoms: 14.1
Space group: F-43m, No. 216
Energy relative to the lowest polymorph listed for this composition, kJ/mol of atoms: 19.3
Total DFT energy (no corrections), eV/atom: -4.2841
Spin magnetization, μB/cell: 11.79

Cell and atoms, written as Quantum ESPRESSO input:
```
&SYSTEM
  ibrav = 0, nat = 16, ntyp = 3
/
ATOMIC_SPECIES
Li 6.94 Li.upf
La 138.91 La.upf
Mo 95.94 Mo.upf
CELL_PARAMETERS angstrom
7.050 0.000 0.000
0.000 7.050 0.000
0.000 0.000 7.050
ATOMIC_POSITIONS angstrom
Li 0.000 0.000 0.000
Li 0.000 3.525 3.525
Li 1.763 1.763 1.763
Li 1.763 5.288 5.288
Li 3.525 0.000 3.525
Li 3.525 3.525 0.000
Li 5.288 1.763 5.288
Li 5.288 5.288 1.763
La 1.763 1.763 5.288
La 1.763 5.288 1.763
La 5.288 1.763 1.763
La 5.288 5.288 5.288
Mo 0.000 0.000 3.525
Mo 0.000 3.525 0.000
Mo 3.525 0.000 0.000
Mo 3.525 3.525 3.525
```

=====

Computed, not measured: a geometry-optimized LiLa2PmS4 structure at the GGA-PBE level of DFT. Values from VASP.

Properties
Raw formation energy, eV per atom: -1.968
Space group: P2/m, No. 10
Total DFT energy (no corrections), eV/atom: -6.0964
Spin magnetization, μB/cell: 0.00

Cell and atoms, written as Quantum ESPRESSO input:
```
&SYSTEM
  ibrav = 0, nat = 8, ntyp = 4
/
ATOMIC_SPECIES
Li 6.94 Li.upf
La 138.91 La.upf
Pm 145.00 Pm.upf
S 32.06 S.upf
CELL_PARAMETERS angstrom
6.968 0.000 0.000
0.000 4.087 0.000
-2.394 0.000 6.668
ATOMIC_POSITIONS angstrom
Li 0.000 0.000 0.000
La 2.287 0.000 3.334
La 3.484 2.043 0.000
Pm -1.197 2.043 3.334
S -0.142 0.000 5.015
S 1.076 2.043 1.618
S 4.715 0.000 1.653
S 3.497 2.043 5.050
```